# 1
Material: CsZnAsBr2
Method: DFT, GGA-PBE
State: relaxed

Results
Mass density   2.59 Mg/m³
Formation energy from raw total energies   0.420 eV per atom

Cell: 6.613 6.613 6.343 Å, 90.00 90.00 90.00°
Site moments in Bohr magnetons follow the coordinates.
Element x y z (fractional)
Br  0.500  0.000  0.000  0.25
As  0.000  0.000  0.500  1.19
Cs  0.000  0.000  0.000  0.08
Br  0.000  0.500  0.000  0.25
Zn  0.500  0.500  0.500  0.17

# 2
Material: AcLa2Cl
Method: DFT, GGA-PBE
State: relaxed

Results
Mass density   6.84 Mg/m³
Formation energy from raw total energies   -0.582 eV per atom

Cell: 3.690 3.690 9.634 Å, 90.00 90.00 90.00°
Element x y z (fractional)
La  0.000  0.000  0.778
Cl  0.500  0.500  0.000
Ac  0.500  0.500  0.500
La  0.000  0.000  0.222

# 3
Material: TiTlHg2
Method: DFT, GGA-PBE
State: relaxed

Results
Mass density   11.70 Mg/m³
DFT formation energy   0.091 eV per atom

Cell: 3.214 3.214 8.978 Å, 90.00 90.00 90.00°
Site moments in Bohr magnetons follow the coordinates.
Element x y z (fractional)
Hg  0.000  0.000  0.207  0.01
Ti  0.500  0.500  0.000  0.84
Tl  0.500  0.500  0.500  0.00
Hg  0.000  0.000  0.793  0.01

# 4
Material: Er2ZnSi4Rh3
Method: DFT, GGA-PBE
State: relaxed

Results
Mass density   8.17 Mg/m³
Formation energy from raw total energies   -0.875 eV per atom

Cell: 4.067 4.067 10.085 Å, 90.00 90.00 90.00°
Element x y z (fractional)
Si  0.500  0.500  0.000
Rh  0.000  0.500  0.126
Rh  0.500  0.000  0.874
Er  0.000  0.500  0.756
Si  0.500  0.000  0.641
Si  0.000  0.000  0.000
Rh  0.000  0.000  0.500
Si  0.000  0.500  0.359
Er  0.500  0.000  0.244
Zn  0.500  0.500  0.500

# 5
Material: TaCuPdRu
Method: DFT, GGA-PBE
State: relaxed

Results
Mass density   12.62 Mg/m³
DFT formation energy   -0.209 eV per atom

Cell: 4.381 4.381 4.381 Å, 60.00 60.00 60.00°
Element x y z (fractional)
Ta  0.500  0.500  0.500
Pd  0.250  0.250  0.250
Cu  0.000  0.000  0.000
Ru  0.750  0.750  0.750

# 6
Material: Np2TcN
Method: DFT, GGA-PBE
State: relaxed

Results
Mass density   15.92 Mg/m³
Formation energy from raw total energies   0.049 eV per atom

Cell: 3.172 3.172 6.077 Å, 90.00 90.00 90.00°
Site moments in Bohr magnetons follow the coordinates.
Element x y z (fractional)
Np  0.000  0.000  0.197  0.55
N  0.500  0.500  0.000  -0.02
Tc  0.500  0.500  0.500  -0.15
Np  0.000  0.000  0.803  0.55

# 7
Material: HoTm2Zr
Method: DFT, GGA-PBE
State: relaxed

Results
Mass density   8.77 Mg/m³
DFT formation energy   0.070 eV per atom

Cell: 3.408 3.408 11.357 Å, 81.37 81.37 60.00°
Element x y z (fractional)
Ho  0.000  0.000  0.000
Zr  0.500  0.500  0.500
Tm  0.755  0.755  0.736
Tm  0.245  0.245  0.264

# 8
Material: LaY12Tm5
Method: DFT, GGA-PBE
State: relaxed

Results
Mass density   5.92 Mg/m³
DFT formation energy   0.032 eV per atom

Cell: 32.005 18.482 6.164 Å, 131.80 140.30 15.82°
Element x y z (fractional)
Tm  0.665  0.671  0.000
Y  0.666  0.334  0.998
Y  0.168  0.332  0.503
Tm  0.500  0.000  0.500
Y  0.165  0.004  0.500
Y  0.499  0.670  0.501
Y  0.334  0.000  0.003
Y  0.999  0.335  0.998
Y  0.832  0.668  0.497
Y  0.501  0.330  0.499
Y  0.001  0.665  0.002
Tm  0.830  0.340  0.500
Y  0.334  0.666  0.002
Y  0.666  0.000  0.997
Y  0.835  0.996  0.500
Tm  0.170  0.660  0.500
La  0.000  0.000  0.000
Tm  0.335  0.329  0.000

# 9
Material: TiCdB2O
Method: DFT, GGA-PBE
State: relaxed

Results
Mass density   4.40 Mg/m³
Formation energy from raw total energies   0.420 eV per atom

Cell: 4.456 3.757 4.456 Å, 90.00 90.00 90.00°
Element x y z (fractional)
O  0.000  0.500  0.000
B  0.000  0.000  0.500
B  0.500  0.000  0.000
Cd  0.500  0.500  0.500
Ti  0.000  0.000  0.000

# 10
Material: La3PdRh8
Method: DFT, GGA-PBE
State: relaxed

Results
Mass density   10.09 Mg/m³
DFT formation energy   -0.489 eV per atom

Cell: 5.390 5.390 9.340 Å, 73.23 73.23 60.00°
Element x y z (fractional)
La  0.011  0.011  0.967
Rh  0.060  0.060  0.320
Rh  0.560  0.060  0.320
Rh  0.563  0.062  0.813
La  0.623  0.623  0.130
La  0.492  0.492  0.524
Rh  0.563  0.563  0.813
Rh  0.311  0.311  0.066
Pd  0.134  0.134  0.597
Rh  0.060  0.560  0.320
Rh  0.811  0.811  0.567
Rh  0.062  0.563  0.813

# 11
Material: CsIn2I
Method: DFT, GGA-PBE
State: relaxed

Results
Mass density   4.36 Mg/m³
Formation energy from raw total energies   -0.374 eV per atom

Cell: 5.387 5.387 13.402 Å, 78.41 78.41 90.00°
Element x y z (fractional)
I  0.250  0.750  0.500
In  0.375  0.504  0.750
Cs  0.000  0.000  0.000
In  0.254  0.625  0.250
Cs  0.750  0.250  0.500
In  0.496  0.125  0.250
I  0.500  0.500  0.000
In  0.875  0.746  0.750

# 12
Material: TlInPdAu
Method: DFT, GGA-PBE
State: relaxed

Results
Mass density   12.61 Mg/m³
DFT formation energy   -0.100 eV per atom

Cell: 4.876 4.876 4.876 Å, 60.00 60.00 60.00°
Element x y z (fractional)
Pd  0.500  0.500  0.500
Tl  0.250  0.250  0.250
Au  0.000  0.000  0.000
In  0.750  0.750  0.750

# 13
Material: LiCo2Ag
Method: DFT, GGA-PBE
State: relaxed

Results
Mass density   7.15 Mg/m³
DFT formation energy   0.339 eV per atom

Cell: 9.222 9.222 9.222 Å, 16.32 16.32 16.32°
Site moments in Bohr magnetons follow the coordinates.
Element x y z (fractional)
Li  0.250  0.250  0.250  -0.06
Co  0.503  0.503  0.503  1.57
Ag  0.750  0.750  0.750  -0.05
Co  0.997  0.997  0.997  1.57

# 14
Material: Ac8P6Cl
Method: DFT, GGA-PBE
State: relaxed

Results
Mass density   6.40 Mg/m³
Formation energy from raw total energies   -1.199 eV per atom

Cell: 4.524 11.617 11.617 Å, 120.00 90.00 90.00°
Element x y z (fractional)
Ac  0.252  0.667  0.333
Ac  0.255  0.638  0.962
P  0.246  0.340  0.861
Ac  0.745  0.962  0.324
Ac  0.255  0.038  0.676
P  0.246  0.139  0.479
P  0.754  0.479  0.340
Ac  0.255  0.324  0.362
Ac  0.745  0.676  0.638
Cl  0.500  0.000  0.000
Ac  0.748  0.333  0.667
Ac  0.745  0.362  0.038
P  0.754  0.861  0.521
P  0.246  0.521  0.660
P  0.754  0.660  0.139

# 15
Material: Ag2AuCl
Method: DFT, GGA-PBE
State: relaxed

Results
Mass density   9.74 Mg/m³
Formation energy from raw total energies   0.061 eV per atom

Cell: 3.102 3.102 8.646 Å, 90.00 90.00 113.29°
Element x y z (fractional)
Ag  0.500  0.500  0.248
Au  0.000  0.000  0.501
Ag  0.000  0.000  0.992
Cl  0.500  0.500  0.759

# 16
Material: Sr5Ga6
Method: DFT, GGA-PBE
State: relaxed

Results
Mass density   4.28 Mg/m³
DFT formation energy   -0.435 eV per atom

Cell: 4.788 4.405 15.923 Å, 97.95 90.00 90.00°
Element x y z (fractional)
Ga  0.500  0.460  0.920
Ga  0.500  0.084  0.167
Sr  0.000  0.000  0.000
Sr  0.500  0.196  0.393
Sr  0.000  0.614  0.228
Ga  0.000  0.272  0.544
Sr  0.500  0.804  0.607
Ga  0.000  0.728  0.456
Sr  0.000  0.386  0.772
Ga  0.500  0.916  0.833
Ga  0.500  0.540  0.080

# 17
Material: CdHg2W
Method: DFT, GGA-PBE
State: relaxed

Results
Mass density   14.14 Mg/m³
DFT formation energy   1.004 eV per atom

Cell: 4.874 4.874 4.874 Å, 60.00 60.00 60.00°
Site moments in Bohr magnetons follow the coordinates.
Element x y z (fractional)
Hg  0.000  0.000  0.000  0.00
W  0.750  0.750  0.750  1.80
Cd  0.500  0.500  0.500  0.00
Hg  0.250  0.250  0.250  -0.03

# 18
Material: CrFeSi2I
Method: DFT, GGA-PBE
State: relaxed

Results
Mass density   4.51 Mg/m³
Formation energy from raw total energies   0.606 eV per atom

Cell: 4.272 5.867 4.272 Å, 90.00 90.00 90.00°
Site moments in Bohr magnetons follow the coordinates.
Element x y z (fractional)
Cr  0.500  0.500  0.500  4.18
Fe  0.000  0.000  0.000  0.39
I  0.000  0.500  0.000  -0.02
Si  0.500  0.000  0.000  -0.02
Si  0.000  0.000  0.500  -0.02

# 19
Material: Cs8Au2Cl
Method: DFT, GGA-PBE
State: relaxed

Results
Mass density   2.80 Mg/m³
Formation energy from raw total energies   -0.413 eV per atom

Cell: 8.753 10.846 10.823 Å, 120.38 89.99 90.16°
Element x y z (fractional)
Cs  0.232  0.159  0.316
Cs  0.770  0.317  0.160
Cl  0.000  0.000  0.000
Cs  0.769  0.844  0.159
Cs  0.683  0.333  0.670
Cs  0.231  0.156  0.841
Cs  0.230  0.683  0.840
Au  0.909  0.669  0.333
Cs  0.317  0.667  0.330
Cs  0.768  0.841  0.684
Au  0.091  0.331  0.667

# 20
Material: TbPu2USb4
Method: DFT, GGA-PBE
State: relaxed

Results
Mass density   9.42 Mg/m³
Formation energy from raw total energies   -0.616 eV per atom

Cell: 4.399 7.624 7.645 Å, 109.33 90.00 90.00°
Site moments in Bohr magnetons follow the coordinates.
Element x y z (fractional)
Sb  0.500  0.751  0.753  -0.06
Tb  0.500  0.500  0.000  0.02
Pu  0.500  0.000  0.500  -5.26
Sb  0.000  0.248  0.753  0.00
U  0.000  0.000  0.000  2.26
Sb  0.000  0.752  0.247  0.00
Pu  0.000  0.500  0.500  5.24
Sb  0.500  0.249  0.247  -0.06

# 21
Material: Ge2SbAu
Method: DFT, GGA-PBE
State: relaxed

Results
Mass density   6.89 Mg/m³
Formation energy from raw total energies   0.108 eV per atom

Cell: 6.128 6.128 7.367 Å, 65.42 65.42 90.00°
Element x y z (fractional)
Ge  0.875  0.904  0.750
Sb  0.250  0.750  0.500
Ge  0.375  0.346  0.750
Au  0.000  0.000  0.000
Au  0.750  0.250  0.500
Ge  0.096  0.625  0.250
Sb  0.500  0.500  0.000
Ge  0.654  0.125  0.250

# 22
Material: LiMnGe
Method: DFT, GGA-PBE
State: relaxed

Results
Mass density   5.17 Mg/m³
DFT formation energy   -0.046 eV per atom

Cell: 2.813 4.210 4.210 Å, 120.00 90.00 90.00°
Site moments in Bohr magnetons follow the coordinates.
Element x y z (fractional)
Li  0.921  0.000  0.000  -0.02
Mn  0.351  0.333  0.667  3.44
Ge  0.728  0.667  0.333  -0.09

# 23
Material: ZrCuH2Rh
Method: DFT, GGA-PBE
State: relaxed

Results
Uncorrected energy   -24.74 eV for the cell shown
Mass density   6.37 Mg/m³

Cell: 3.637 5.116 3.637 Å, 90.00 90.00 90.00°
Element x y z (fractional)
H  0.000  0.000  0.500
Cu  0.000  0.500  0.000
H  0.500  0.000  0.000
Zr  0.000  0.000  0.000
Rh  0.500  0.500  0.500

# 24
Material: BePdAu3
Method: DFT, GGA-PBE
State: relaxed

Results
Mass density   9.26 Mg/m³
DFT formation energy   1.187 eV per atom

Cell: 5.021 5.021 5.021 Å, 90.00 90.00 90.00°
Element x y z (fractional)
Pd  0.000  0.000  0.000
Be  0.500  0.500  0.500
Au  0.000  0.500  0.000
Au  0.500  0.000  0.000
Au  0.000  0.000  0.500

# 25
Material: USF
Method: DFT, GGA-PBE
State: relaxed

Results
Mass density   8.31 Mg/m³
Formation energy from raw total energies   -2.151 eV per atom

Cell: 4.373 5.243 8.201 Å, 42.65 74.54 65.35°
Site moments in Bohr magnetons follow the coordinates.
Element x y z (fractional)
U  0.676  0.369  0.279  2.77
F  0.115  0.369  0.400  -0.01
U  0.324  0.631  0.721  2.77
S  0.625  0.958  0.792  -0.08
S  0.375  0.042  0.208  -0.08
F  0.885  0.631  0.600  -0.01

# 26
Material: K2Mg3InSn4
Method: DFT, GGA-PBE
State: relaxed

Results
Mass density   4.13 Mg/m³
DFT formation energy   -0.207 eV per atom

Cell: 4.828 4.828 12.789 Å, 90.00 90.00 90.00°
Element x y z (fractional)
Mg  0.500  0.000  0.863
K  0.500  0.000  0.249
Sn  0.500  0.500  0.000
In  0.500  0.500  0.500
Sn  0.000  0.500  0.362
Sn  0.500  0.000  0.638
Mg  0.000  0.500  0.137
Sn  0.000  0.000  0.000
Mg  0.000  0.000  0.500
K  0.000  0.500  0.751